# CuW2ClO

An optimized crystal structure of CuW2ClO (GGA+U, the Alexandria database).

Unit cell a=5.0782 b=5.0782 c=4.4638 alpha=90.00 beta=90.00 gamma=90.00
Fractional coordinates of all 5 atoms:
1 Cu 0.0000 0.0000 0.0000
2 W 0.0000 0.5000 0.0000
3 W 0.5000 0.0000 0.0000
4 Cl 0.0000 0.0000 0.5000
5 O 0.5000 0.5000 0.5000

## Properties
DOS at the Fermi energy   0.471 states/eV/atom
DFT total energy   -16.83 eV/cell
Magnetization   6.84 Bohr magnetons per cell